# CdSiMoBr PBE optimized geometry
data_CdSiMoBr
_chemical_formula_sum 'Cd1 Si1 Mo1 Br1'
_symmetry_space_group_name_H-M 'P 1'
_symmetry_Int_Tables_number 1
_symmetry_space_group_name_Hall 'P 1'
_cell_length_a 7.453
_cell_length_b 7.453
_cell_length_c 3.415
_cell_angle_alpha 90.55
_cell_angle_beta 90.55
_cell_angle_gamma 26.15
loop_
_atom_site_label
_atom_site_type_symbol
_atom_site_fract_x
_atom_site_fract_y
_atom_site_fract_z
Cd1 Cd 0.000 0.000 0.000
Si1 Si 0.184 0.184 0.001
Mo1 Mo 0.642 0.642 0.499
Br1 Br 0.836 0.836 0.501
# Total DFT energy (no corrections) (eV per atom): -4.58
# Density of states at the Fermi level (states/eV/f.u.): 3.1
# ΔE_f (raw) (eV per atom): 0.13
# Excess energy over the best structure of this formula in the dataset (eV per atom): 0.0661

=====

# ScCu2Os PBE optimized geometry
data_ScCu2Os
_chemical_formula_sum 'Sc1 Cu2 Os1'
_symmetry_space_group_name_H-M 'P 1'
_symmetry_Int_Tables_number 1
_symmetry_space_group_name_Hall 'P 1'
_cell_length_a 4.351
_cell_length_b 4.351
_cell_length_c 4.351
_cell_angle_alpha 60.00
_cell_angle_beta 60.00
_cell_angle_gamma 60.00
loop_
_atom_site_label
_atom_site_type_symbol
_atom_site_fract_x
_atom_site_fract_y
_atom_site_fract_z
Sc1 Sc 0.000 0.000 0.000
Cu1 Cu 0.250 0.250 0.250
Cu2 Cu 0.750 0.750 0.750
Os1 Os 0.500 0.500 0.500
# ΔE_f (eV/f.u.): 0.10
# Total DFT energy (no corrections) (eV per atom): -6.41
# Density of states at the Fermi level (states/eV/f.u.): 3.4
# Excess energy over the best structure of this formula in the dataset (eV per atom): 0.0829

=====

# TaTe4Rh PBE optimized geometry
data_TaTe4Rh
_chemical_formula_sum 'Ta4 Te16 Rh4'
_symmetry_space_group_name_H-M 'P 1'
_symmetry_Int_Tables_number 1
_symmetry_space_group_name_Hall 'P 1'
_cell_length_a 3.783
_cell_length_b 12.741
_cell_length_c 13.822
_cell_angle_alpha 90.00
_cell_angle_beta 90.00
_cell_angle_gamma 90.00
loop_
_atom_site_label
_atom_site_type_symbol
_atom_site_fract_x
_atom_site_fract_y
_atom_site_fract_z
Ta1 Ta 0.000 0.053 0.000
Ta2 Ta 0.000 0.268 0.487
Ta3 Ta 0.500 0.732 0.987
Ta4 Ta 0.500 0.947 0.500
Te1 Te 0.000 0.067 0.390
Te2 Te 0.000 0.192 0.855
Te3 Te 0.000 0.348 0.087
Te4 Te 0.000 0.410 0.629
Te5 Te 0.000 0.566 0.397
Te6 Te 0.000 0.676 0.849
Te7 Te 0.000 0.850 0.099
Te8 Te 0.000 0.891 0.638
Te9 Te 0.500 0.109 0.138
Te10 Te 0.500 0.150 0.599
Te11 Te 0.500 0.324 0.349
Te12 Te 0.500 0.434 0.897
Te13 Te 0.500 0.590 0.129
Te14 Te 0.500 0.652 0.587
Te15 Te 0.500 0.808 0.355
Te16 Te 0.500 0.933 0.890
Rh1 Rh 0.000 0.535 0.996
Rh2 Rh 0.000 0.753 0.489
Rh3 Rh 0.500 0.247 0.989
Rh4 Rh 0.500 0.465 0.496
# Total DFT energy (no corrections) (eV per atom): -5.71
# Density of states at the Fermi level (states/eV/f.u.): 0.9
# ΔE_f (raw) (eV per atom): -0.42
# Excess energy over the best structure of this formula in the dataset (eV per atom): 0.0000

=====

no.,magnetic moment (μB/cell)
1,0.00
2,0.00
3,0.00